Below is crystalline In2CoO4 at its relaxed geometry, with properties calculated at the PBE+U level.

Unit cell a=6.403 b=6.403 c=6.403 alpha=60.00 beta=60.00 gamma=60.00
Atoms (fractional coordinates):
1 In 0.000 0.000 0.000
2 In 0.000 0.000 0.500
3 In 0.000 0.500 0.000
4 In 0.500 0.000 0.000
5 Co 0.375 0.375 0.375
6 Co 0.625 0.625 0.625
7 O 0.232 0.756 0.756
8 O 0.244 0.244 0.244
9 O 0.244 0.244 0.768
10 O 0.244 0.768 0.244
11 O 0.756 0.232 0.756
12 O 0.756 0.756 0.232
13 O 0.756 0.756 0.756
14 O 0.768 0.244 0.244

**Uncorrected energy**: -5.738 eV per atom
**Volume**: 93 Å³/f.u.